This record from OQMD describes a geometry-optimized PrGdIn structure. The functional is GGA-PBE.

Unit cell a=7.4856 b=7.4856 c=7.4856 alpha=90.00 beta=90.00 gamma=90.00
Space group F-43m (No. 216)
Asymmetric unit:
Pr 0.0000 0.0000 0.0000
Gd 0.0000 0.0000 0.5000
In 0.2500 0.2500 0.7500

Output
total magnetic moment	3.4	Bohr magnetons per cell
final energy	-4.1564	eV per atom